Version i
CaMoW: optimized geometry, GGA-PBE.

Calculated values
**Total magnetic moment**: 0.00 μB/cell
**Crystal system**: trigonal

abc: 4.816 4.816 2.778
angles: 90.00 90.00 120.00
Fractional positions:
Mo 0.667 0.333 0.374
Ca 0.000 0.000 0.007
W 0.333 0.667 0.618

=====

Version ii
CaMoW: optimized geometry, GGA-PBE.

Calculated values
**Total magnetic moment**: 0.00 μB/cell
**Crystal system**: cubic

abc: 4.517 4.517 4.517
angles: 60.00 60.00 60.00
Fractional positions:
Mo 0.750 0.750 0.750
W 0.000 0.000 0.000
Ca 0.500 0.500 0.500

=====

Version iii
CaMoW: optimized geometry, GGA-PBE.

Calculated values
**Total magnetic moment**: 0.00 μB/cell
**Crystal system**: tetragonal

abc: 7.945 7.945 7.945
angles: 160.31 160.31 27.98
Fractional positions:
Ca 0.001 0.001 0.000
W 0.675 0.675 0.000
Mo 0.325 0.325 0.000

=====

Version iv
CaMoW: optimized geometry, GGA-PBE.

Calculated values
**Total magnetic moment**: 0.00 μB/cell
**Crystal system**: orthorhombic

abc: 5.042 5.042 5.042
angles: 148.73 119.32 69.85
Fractional positions:
Ca 0.001 0.001 0.000
W 0.654 0.654 0.000
Mo 0.345 0.345 0.000

=====

What should be chosen as the most stable of them? Choose version i.

=====

Version i
CaMoW: optimized geometry, GGA-PBE.

Calculated values
**Total magnetic moment**: 0.00 μB/cell
**Crystal system**: tetragonal

abc: 6.164 6.164 6.164
angles: 148.82 148.82 44.68
Fractional positions:
W 0.700 0.700 0.000
Mo 0.301 0.301 0.000
Ca 0.999 0.999 0.000

=====

Version ii
CaMoW: optimized geometry, GGA-PBE.

Calculated values
**Total magnetic moment**: 0.00 μB/cell
**Crystal system**: orthorhombic

abc: 7.742 7.529 2.939
angles: 83.02 74.84 22.14
Fractional positions:
W 0.684 0.684 0.316
Mo 0.317 0.317 0.683
Ca 0.000 0.000 0.000

=====

What should be chosen as the most stable of them? Choose version i.

=====

Version i
CaYMo2: optimized geometry, GGA-PBE.

Calculated values
**Total magnetic moment**: 0.00 μB/cell
**Crystal system**: monoclinic

abc: 4.995 3.018 6.519
angles: 76.83 90.00 90.00
Fractional positions:
Mo 0.000 0.943 0.070
Mo 0.000 0.557 0.430
Y 0.500 0.250 0.250
Ca 0.500 0.750 0.750

=====

Version ii
CaYMo2: optimized geometry, GGA-PBE.

Calculated values
**Total magnetic moment**: 0.00 μB/cell
**Crystal system**: orthorhombic

abc: 5.784 5.784 2.886
angles: 90.00 90.00 119.62
Fractional positions:
Ca 0.000 0.500 0.500
Mo 0.000 0.000 0.000
Mo 0.500 0.500 0.000
Y 0.500 0.000 0.500

=====

Version iii
CaYMo2: optimized geometry, GGA-PBE.

Calculated values
**Total magnetic moment**: 0.00 μB/cell
**Crystal system**: orthorhombic

abc: 3.910 4.281 5.004
angles: 90.00 90.00 90.00
Fractional positions:
Mo 0.500 0.500 0.000
Mo 0.000 0.000 0.000
Ca 0.000 0.500 0.500
Y 0.500 0.000 0.500

=====

Version iv
CaYMo2: optimized geometry, GGA-PBE.

Calculated values
**Total magnetic moment**: 3.48 μB/cell
**Crystal system**: cubic

abc: 5.025 5.025 5.025
angles: 60.00 60.00 60.00
Last column: magnetic moment on the atom in μB.
Fractional positions:
Ca 0.000 0.000 0.000  0.06
Mo 0.750 0.750 0.750  1.35
Mo 0.250 0.250 0.250  1.35
Y 0.500 0.500 0.500  0.10

=====

What should be chosen as the most stable of them? Choose version i.

=====

Version i
CaYMo: optimized geometry, GGA-PBE.

Calculated values
**Total magnetic moment**: 0.00 μB/cell
**Crystal system**: hexagonal

abc: 5.190 5.190 3.131
angles: 90.00 90.00 120.00
Fractional positions:
Ca 0.000 0.000 0.167
Mo 0.667 0.333 0.167
Y 0.333 0.667 0.666

=====

Version ii
CaYMo: optimized geometry, GGA-PBE.

Calculated values
**Total magnetic moment**: 1.25 μB/cell
**Crystal system**: trigonal

abc: 3.436 3.436 7.912
angles: 90.00 90.00 120.00
Last column: magnetic moment on the atom in μB.
Fractional positions:
Y 0.333 0.667 0.614  0.09
Ca 0.000 0.000 0.042  0.03
Mo 0.667 0.333 0.344  0.90

=====

Version iii
CaYMo: optimized geometry, GGA-PBE.

Calculated values
**Total magnetic moment**: 2.68 μB/cell
**Crystal system**: cubic

abc: 5.085 5.085 5.085
angles: 60.00 60.00 60.00
Last column: magnetic moment on the atom in μB.
Fractional positions:
Mo 0.750 0.750 0.750  2.13
Ca 0.500 0.500 0.500  0.03
Y 0.000 0.000 0.000  0.07

=====

Version iv
CaYMo: optimized geometry, GGA-PBE.

Calculated values
**Total magnetic moment**: 0.00 μB/cell
**Crystal system**: orthorhombic

abc: 8.155 8.009 3.217
angles: 81.09 75.97 22.94
Fractional positions:
Y 0.694 0.694 0.306
Ca 0.978 0.978 0.022
Mo 0.328 0.328 0.672

=====

What should be chosen as the most stable of them? Choose version iv.

=====

Version i
CaZn2Mo: optimized geometry, GGA-PBE.

Calculated values
**Total magnetic moment**: 0.50 μB/cell
**Crystal system**: monoclinic

abc: 3.851 2.950 7.126
angles: 65.44 90.00 90.00
Last column: magnetic moment on the atom in μB.
Fractional positions:
Zn 0.000 0.049 0.951  0.00
Zn 0.000 0.451 0.549  0.00
Mo 0.500 0.750 0.750  0.41
Ca 0.500 0.250 0.250  0.01

=====

Version ii
CaZn2Mo: optimized geometry, GGA-PBE.

Calculated values
**Total magnetic moment**: 0.00 μB/cell
**Crystal system**: trigonal

abc: 9.653 9.653 9.653
angles: 17.98 17.98 17.98
Fractional positions:
Mo 0.750 0.750 0.750
Zn 0.492 0.492 0.492
Zn 0.008 0.008 0.008
Ca 0.250 0.250 0.250

=====

Version iii
CaZn2Mo: optimized geometry, GGA-PBE.

Calculated values
**Total magnetic moment**: 0.00 μB/cell
**Crystal system**: monoclinic

abc: 5.439 5.439 5.039
angles: 70.45 70.45 30.92
Fractional positions:
Zn 0.728 0.728 0.724
Zn 0.013 0.013 0.045
Ca 0.488 0.488 0.545
Mo 0.271 0.271 0.185

=====

Version iv
CaZn2Mo: optimized geometry, GGA-PBE.

Calculated values
**Total magnetic moment**: 0.00 μB/cell
**Crystal system**: orthorhombic

abc: 5.714 5.714 5.714
angles: 150.06 128.61 60.62
Fractional positions:
Zn 0.007 0.007 0.000
Zn 0.227 0.727 0.500
Ca 0.492 0.492 0.000
Mo 0.774 0.274 0.500

=====

What should be chosen as the most stable of them? Choose version i.

=====

Version i
CaZn2Mo: optimized geometry, GGA-PBE.

Calculated values
**Total magnetic moment**: 0.00 μB/cell
**Crystal system**: tetragonal

abc: 2.901 2.901 8.494
angles: 90.00 90.00 90.00
Fractional positions:
Zn 0.000 0.000 0.975
Zn 0.000 0.000 0.525
Ca 0.500 0.500 0.250
Mo 0.500 0.500 0.750

=====

Version ii
CaZn2Mo: optimized geometry, GGA-PBE.

Calculated values
**Total magnetic moment**: 0.03 μB/cell
**Crystal system**: tetragonal

abc: 5.289 5.289 5.289
angles: 135.19 135.19 65.23
Fractional positions:
Ca 0.500 0.500 0.000
Zn 0.000 0.000 0.000
Zn 0.250 0.750 0.500
Mo 0.750 0.250 0.500

=====

What should be chosen as the most stable of them? Choose version i.

=====

Version i
CaZn2Mo: optimized geometry, GGA-PBE.

Calculated values
**Total magnetic moment**: 1.71 μB/cell
**Crystal system**: cubic

abc: 4.729 4.729 4.729
angles: 60.00 60.00 60.00
Last column: magnetic moment on the atom in μB.
Fractional positions:
Zn 0.250 0.250 0.250  -0.03
Zn 0.750 0.750 0.750  -0.03
Mo 0.500 0.500 0.500  1.63
Ca 0.000 0.000 0.000  -0.01

=====

Version ii
CaZn2Mo: optimized geometry, GGA-PBE.

Calculated values
**Total magnetic moment**: 3.48 μB/cell
**Crystal system**: tetragonal

abc: 4.482 4.482 9.737
angles: 76.69 76.69 90.00
Last column: magnetic moment on the atom in μB.
Fractional positions:
Zn 0.004 0.625 0.250  0.00
Zn 0.875 0.996 0.750  -0.01
Zn 0.746 0.125 0.250  0.00
Zn 0.375 0.254 0.750  -0.01
Ca 0.250 0.750 0.500  0.03
Ca 0.500 0.500 0.000  0.03
Mo 0.750 0.250 0.500  1.47
Mo 0.000 0.000 0.000  1.46

=====

Version iii
CaZn2Mo: optimized geometry, GGA-PBE.

Calculated values
**Total magnetic moment**: 0.00 μB/cell
**Crystal system**: monoclinic

abc: 4.865 2.981 4.865
angles: 89.98 90.00 90.00
Fractional positions:
Ca 0.000 0.609 0.376
Zn 0.500 0.119 0.374
Zn 0.000 0.119 0.876
Mo 0.500 0.652 0.874

=====

What should be chosen as the most stable of them? Choose version iii.

=====

Version i
CaZn2Mo: optimized geometry, GGA-PBE.

Calculated values
**Total magnetic moment**: 3.15 μB/cell
**Crystal system**: cubic

abc: 4.776 4.776 4.776
angles: 60.00 60.00 60.00
Last column: magnetic moment on the atom in μB.
Fractional positions:
Ca 0.500 0.500 0.500  0.12
Zn 0.000 0.000 0.000  -0.01
Zn 0.250 0.250 0.250  -0.02
Mo 0.750 0.750 0.750  2.54

=====

Version ii
CaZn2Mo: optimized geometry, GGA-PBE.

Calculated values
**Total magnetic moment**: 0.00 μB/cell
**Crystal system**: monoclinic

abc: 4.891 4.891 5.864
angles: 82.75 82.75 33.78
Fractional positions:
Ca 0.750 0.750 0.750
Zn 0.509 0.509 0.435
Zn 0.991 0.991 0.065
Mo 0.250 0.250 0.250

=====

Version iii
CaZn2Mo: optimized geometry, GGA-PBE.

Calculated values
**Total magnetic moment**: 0.00 μB/cell
**Crystal system**: tetragonal

abc: 2.903 2.903 8.568
angles: 90.00 90.00 90.01
Fractional positions:
Mo 0.500 0.500 0.788
Ca 0.000 0.000 0.494
Zn 0.500 0.500 0.216
Zn 0.000 0.000 0.002

=====

What should be chosen as the most stable of them? Choose version iii.